No. 1
RbTlHg2 | PBE-GGA | optimized geometry

The calculation puts the energy relative to the elements at -57 kJ/mol of formula units. Its excess energy over the best structure of this formula in the dataset is 0.001 eV per formula unit.

The space group is Cmcm (No. 63) and the conventional cell measures 5.6457, 12.5629 and 7.7502 Å, with angles of 90.00, 90.00 and 90.00 degrees. The inequivalent atoms are Rb at (0.0000, 0.0841, 0.2500), Tl at (0.0000, 0.2134, 0.7500) and Hg at (0.0000, 0.3781, 0.0533).

---

No. 2
NbFeSe3 | PBE-GGA | optimized geometry

Its excess energy over the best structure of this formula in the dataset is 0.000 eV per formula unit. As for the uncorrected formation energy: -0.56 eV/atom.

The space group is Ama2 (No. 40) and the conventional cell measures 3.4985, 23.3997 and 6.0790 Å, with angles of 90.00, 90.00 and 90.00 degrees. The inequivalent atoms are Nb at (0.2500, 0.1713, 0.0000), Fe at (0.2500, 0.3643, 0.8336), Se at (0.2500, 0.0758, 0.2089), Se at (0.2500, 0.2677, 0.7116) and Se at (0.2500, 0.3696, 0.2204).

---

No. 3
NpTl3Cu2S6 | PBE-GGA | optimized geometry

As for the uncorrected formation energy: -0.49 eV/atom.

The space group is C2/m (No. 12) and the conventional cell measures 6.1391, 14.5538 and 7.0690 Å, with angles of 90.00, 109.37 and 90.00 degrees. The inequivalent atoms are Np at (0.0000, 0.0000, 0.0000), Tl at (0.0000, 0.1790, 0.5000), Tl at (0.0000, 0.5000, 0.5000), Cu at (0.0000, 0.4103, 0.0000), S at (0.2087, 0.0000, 0.7433) and S at (0.2178, 0.3688, 0.8075).

---

No. 4
CrRh3 | PBE-GGA | optimized geometry

The calculation puts the energy relative to the elements at 87 kJ/mol of formula units.

The space group is Fm-3m (No. 225) and the conventional cell measures 6.1293, 6.1293 and 6.1293 Å, with angles of 90.00, 90.00 and 90.00 degrees. The inequivalent atoms are Cr at (0.0000, 0.0000, 0.0000), Rh at (0.0000, 0.0000, 0.5000) and Rh at (0.2500, 0.2500, 0.2500).